Record 1
Compound: SrIr2W
Source: the Alexandria database
Functional: GGA-PBE
Structure: relaxed

Values from the calculation:
Formation energy, meV per atom: 756
Total moment, μB per atom: 0.0000
ΔE to the lowest computed polymorph, meV/atom: 727
V, A^3/atom: 18.2

a = 4.0238 Å, b = 4.0238 Å, c = 9.0122 Å
α = 90.00°, β = 90.00°, γ = 90.00°
Last column: nearest neighbours and their distance in Å.
Space group I-4m2 (No. 119)
Inequivalent atoms, fractional coordinates:
Sr1 0.0000 0.0000 0.0000 (multiplicity 2)  8 Ir 2.85-3.02, 4 W 3.02
Ir1 0.0000 0.0000 0.5000 (multiplicity 2)  4 Sr 2.85, 4 W 3.02, 4 Ir 3.02
Ir2 0.0000 0.5000 0.2500 (multiplicity 2)  4 W 2.85, 4 Ir 3.02, 4 Sr 3.02
W1 0.0000 0.5000 0.7500 (multiplicity 2)  8 Ir 2.85-3.02, 4 Sr 3.02

=====

Record 2
Compound: Tm2UTaC4
Source: the Alexandria database
Functional: GGA-PBE
Structure: relaxed

Values from the calculation:
Formation energy, meV per atom: -461
Total moment, μB per atom: 0.0000
V, A^3/atom: 14.1

a = 6.7550 Å, b = 6.9182 Å, c = 9.6241 Å
α = 90.00°, β = 90.00°, γ = 90.00°
Last column: nearest neighbours and their distance in Å.
Space group Imma (No. 74)
Inequivalent atoms, fractional coordinates:
Tm1 0.0000 0.0000 0.0000 (multiplicity 4)  6 C 2.49-2.50
Tm2 0.2500 0.2500 0.2500 (multiplicity 4)  6 C 2.53-2.55
U1 0.0000 0.0000 0.5000 (multiplicity 4)  6 C 2.33-2.34
Ta1 0.2500 0.2500 0.7500 (multiplicity 4)  6 C 2.27-2.31
C1 0.0000 0.0219 0.7419 (multiplicity 8)  2 Ta 2.31, 1 U 2.33, 3 Tm 2.49-2.53
C2 0.2326 0.2500 0.5147 (multiplicity 8)  1 Ta 2.27, 2 U 2.34, 2 Tm 2.50

=====

Record 3
Compound: Hf2Hg2N
Source: the Alexandria database
Functional: GGA-PBE
Structure: relaxed

Values from the calculation:
ΔE_f (raw), eV/atom: -0.71
Total moment, μB per atom: 0.0000
ΔE to the lowest computed polymorph, meV/atom: 0
V, A^3/atom: 18.0

a = 3.2534 Å, b = 3.2534 Å, c = 29.4147 Å
α = 90.00°, β = 90.00°, γ = 120.00°
Last column: nearest neighbours and their distance in Å.
Space group R-3m (No. 166, hexagonal axes)
Inequivalent atoms, fractional coordinates:
Hf1 0.0000 0.0000 0.1243 (multiplicity 6)  3 N 2.25
Hg1 0.0000 0.0000 0.3767 (multiplicity 6)  3 Hf 3.03, 9 Hg 3.17-3.25
N1 0.0000 0.0000 0.5000 (multiplicity 3)  6 Hf 2.25

=====

Record 4
Compound: HoMnAgPt
Source: the Alexandria database
Functional: GGA-PBE
Structure: relaxed

Values from the calculation:
Formation energy, meV per atom: -411
Total moment, μB per atom: 1.0665
V, A^3/atom: 19.1

a = 6.7329 Å, b = 6.7329 Å, c = 6.7329 Å
α = 90.00°, β = 90.00°, γ = 90.00°
Last column: nearest neighbours and their distance in Å.
Space group F-43m (No. 216)
Inequivalent atoms, fractional coordinates:
Ho1 0.0000 0.0000 0.0000 (multiplicity 4)  4 Pt 2.92, 4 Ag 2.92
Mn1 0.0000 0.0000 0.5000 (multiplicity 4)  4 Ag 2.92, 4 Pt 2.92
Ag1 0.2500 0.2500 0.2500 (multiplicity 4)  4 Mn 2.92, 4 Ho 2.92
Pt1 0.2500 0.2500 0.7500 (multiplicity 4)  4 Mn 2.92, 4 Ho 2.92

=====

Record 5
Compound: NdDy7Mg2
Source: the Alexandria database
Functional: GGA-PBE
Structure: relaxed

Values from the calculation:
Formation energy, meV per atom: 585
Total moment, μB per atom: 0.0001
V, A^3/atom: 37.9

a = 8.7399 Å, b = 16.1634 Å, c = 5.3594 Å
α = 90.00°, β = 90.00°, γ = 90.00°
Last column: nearest neighbours and their distance in Å.
Space group Cmmm (No. 65)
Inequivalent atoms, fractional coordinates:
Nd1 0.0000 0.0000 0.0000 (multiplicity 2)  10 Dy 3.46-3.62
Dy1 0.0000 0.2144 0.0000 (multiplicity 4)  2 Mg 3.00
Dy2 0.0000 0.5000 0.5000 (multiplicity 2)  2 Mg 3.28, 4 Dy 3.34
Dy3 0.1823 0.1143 0.5000 (multiplicity 8)  2 Mg 3.12-3.36, 2 Dy 3.19-3.34
Mg1 0.0000 0.2973 0.5000 (multiplicity 4)  5 Dy 3.00-3.28

=====

Record 6
Compound: LiPm2PuO6
Source: the Alexandria database
Functional: GGA-PBE
Structure: relaxed

Values from the calculation:
ΔE_f (raw), eV/atom: -2.93
Total moment, μB per atom: 0.3000
V, A^3/atom: 14.6

a = 5.8470 Å, b = 5.8470 Å, c = 14.7866 Å
α = 90.00°, β = 90.00°, γ = 120.00°
Last column: nearest neighbours and their distance in Å.
Space group R3 (No. 146, hexagonal axes)
Inequivalent atoms, fractional coordinates:
Li1 0.0000 0.0000 0.0000 (multiplicity 3)  6 O 2.25-2.36
Pm1 0.0000 0.0000 0.2217 (multiplicity 3)  6 O 2.33-2.46
Pm2 0.0000 0.0000 0.7274 (multiplicity 3)  6 O 2.33-2.49
Pu1 0.0000 0.0000 0.5078 (multiplicity 3)  6 O 2.14
O1 0.0132 0.3878 0.7726 (multiplicity 9)  1 Pu 2.14, 1 Pm 2.33, 1 Li 2.36
O2 0.0253 0.7327 0.6007 (multiplicity 9)  1 Pu 2.14, 1 Li 2.25, 1 Pm 2.33

=====

Record 7
Compound: HoZrIn2
Source: the Alexandria database
Functional: GGA-PBE
Structure: relaxed

Values from the calculation:
Formation energy, meV per atom: -298
Total moment, μB per atom: 0.0001
V, A^3/atom: 24.2

a = 3.8028 Å, b = 3.8028 Å, c = 6.6967 Å
α = 90.00°, β = 90.00°, γ = 90.00°
Last column: nearest neighbours and their distance in Å.
Space group P4/mmm (No. 123)
Inequivalent atoms, fractional coordinates:
Ho1 0.0000 0.0000 0.0000 (multiplicity 1)  8 In 3.22, 2 Zr 3.35
Zr1 0.0000 0.0000 0.5000 (multiplicity 1)  8 In 3.12, 2 Ho 3.35
In1 0.5000 0.5000 0.2652 (multiplicity 2)  4 Zr 3.12, 1 In 3.14, 4 Ho 3.22

=====

Record 8
Compound: K2Sr3RuO6
Source: the Alexandria database
Functional: GGA-PBE
Structure: relaxed

Values from the calculation:
ΔE_f (raw), eV/atom: -1.84
Total moment, μB per atom: 0.1667
V, A^3/atom: 16.3

a = 6.5554 Å, b = 10.9780 Å, c = 5.9282 Å
α = 90.00°, β = 113.59°, γ = 90.00°
Last column: nearest neighbours and their distance in Å.
Space group C2/m (No. 12)
Inequivalent atoms, fractional coordinates:
K1 0.0000 0.1680 0.0000 (multiplicity 4)  6 O 2.63-2.80
Sr1 0.0000 0.0000 0.5000 (multiplicity 2)  4 O 2.42
Sr2 0.0000 0.3319 0.5000 (multiplicity 4)  4 O 2.46-2.48
Ru1 0.0000 0.5000 0.0000 (multiplicity 2)  6 O 2.01-2.23
O1 0.1775 0.5000 0.7918 (multiplicity 4)  1 Ru 2.01
O2 0.2187 0.3582 0.2494 (multiplicity 8)  1 Ru 2.23, 2 Sr 2.42-2.46

=====

Record 9
Compound: Ac2DyP3Pt12
Source: the Alexandria database
Functional: GGA-PBE
Structure: relaxed

Values from the calculation:
Formation energy, meV per atom: -518
Total moment, μB per atom: 0.0000
V, A^3/atom: 21.0

a = 8.3511 Å, b = 8.3511 Å, c = 18.8146 Å
α = 90.00°, β = 90.00°, γ = 120.00°
Last column: nearest neighbours and their distance in Å.
Space group R-3m (No. 166, hexagonal axes)
Inequivalent atoms, fractional coordinates:
Ac1 0.0000 0.0000 0.1046 (multiplicity 6)  6 Pt 3.01-3.12
Dy1 0.0000 0.0000 0.5000 (multiplicity 3)  6 Pt 2.69
P1 0.0000 0.5000 0.0000 (multiplicity 9)  6 Pt 2.31-2.32
Pt1 0.0209 0.5104 0.8769 (multiplicity 18)  1 P 2.32
Pt2 0.0435 0.5217 0.3567 (multiplicity 18)  2 P 2.31

=====

Record 10
Compound: NaLiPbO3
Source: the Alexandria database
Functional: GGA-PBE
Structure: relaxed

Values from the calculation:
ΔE_f (raw), eV/atom: -1.34
Total moment, μB per atom: 0.0000
V, A^3/atom: 13.0

a = 5.8442 Å, b = 3.3738 Å, c = 7.9617 Å
α = 90.00°, β = 96.09°, γ = 90.00°
Last column: nearest neighbours and their distance in Å.
Space group P2_1/m (No. 11)
Inequivalent atoms, fractional coordinates:
Na1 0.0953 0.2500 0.1827 (multiplicity 2)  6 O 2.35-2.59
Li1 0.1823 0.7500 0.5240 (multiplicity 2)  3 O 2.00-2.12
Pb1 0.4003 0.2500 0.8124 (multiplicity 2)  6 O 2.12-2.36
O1 0.0805 0.2500 0.6587 (multiplicity 2)  3 Li 2.00-2.12, 1 Pb 2.12
O2 0.2847 0.7500 0.9922 (multiplicity 2)  3 Pb 2.28-2.36, 1 Na 2.49
O3 0.4700 0.2500 0.3228 (multiplicity 2)  2 Pb 2.18, 1 Li 2.26, 1 Na 2.35

=====

Record 11
Compound: LiTi2HOs
Source: the Alexandria database
Functional: GGA-PBE
Structure: relaxed

Values from the calculation:
Total energy, eV for the cell shown: -33.8
Total moment, μB per atom: 0.0000
V, A^3/atom: 12.0

a = 4.3102 Å, b = 4.3102 Å, c = 3.2177 Å
α = 90.00°, β = 90.00°, γ = 90.00°
Last column: nearest neighbours and their distance in Å.
Space group P4/mmm (No. 123)
Inequivalent atoms, fractional coordinates:
Li1 0.0000 0.0000 0.0000 (multiplicity 1)  2 H 1.61
Ti1 0.0000 0.5000 0.5000 (multiplicity 2)  2 H 2.16
H1 0.0000 0.0000 0.5000 (multiplicity 1)  2 Li 1.61
Os1 0.5000 0.5000 0.0000 (multiplicity 1)  8 Ti 2.69

=====

Record 12
Compound: Rb2InHg3
Source: the Alexandria database
Functional: GGA-PBE
Structure: relaxed

Values from the calculation:
Formation energy, meV per atom: -204
Total moment, μB per atom: 0.0000
V, A^3/atom: 36.3

a = 12.3524 Å, b = 5.5324 Å, c = 8.6686 Å
α = 90.00°, β = 132.67°, γ = 90.00°
Last column: nearest neighbours and their distance in Å.
Space group Cm (No. 8)
Inequivalent atoms, fractional coordinates:
Rb1 0.0000 0.0000 0.0000 (multiplicity 2)  9 Hg 3.64-4.07, 1 In 3.78
Rb2 0.1221 0.0000 0.6289 (multiplicity 2)  9 Hg 3.71-4.08, 3 In 3.79-3.82
In1 0.3893 0.0000 0.2230 (multiplicity 2)  4 Hg 3.07-3.19
Hg1 0.2186 0.5000 0.4118 (multiplicity 2)  3 Hg 3.17-3.24, 1 In 3.19
Hg2 0.2391 0.5000 0.0662 (multiplicity 2)  2 In 3.09, 2 Hg 3.17-3.31
Hg3 0.4051 0.0000 0.5918 (multiplicity 2)  1 In 3.07, 3 Hg 3.24-3.31

=====

Record 13
Compound: ScFe2
Source: the Alexandria database
Functional: GGA-PBE
Structure: relaxed

Values from the calculation:
Formation energy, meV per atom: 1097
Total moment, μB per atom: 1.3192
V, A^3/atom: 17.3

a = 5.9158 Å, b = 5.9158 Å, c = 5.9158 Å
α = 90.00°, β = 90.00°, γ = 90.00°
Last column: nearest neighbours and their distance in Å.
Space group Pa-3 (No. 205)
Inequivalent atoms, fractional coordinates:
Sc1 0.0000 0.0000 0.0000 (multiplicity 4)  6 Fe 2.48
Fe1 0.1118 0.6118 0.8882 (multiplicity 8)  1 Fe 2.29, 3 Sc 2.48

=====

Record 14
Compound: MoRhSCl2
Source: the Alexandria database
Functional: GGA-PBE
Structure: relaxed

Values from the calculation:
ΔE_f (raw), eV/atom: 0.58
Total moment, μB per atom: 0.7780
ΔE to the lowest computed polymorph, meV/atom: 91
V, A^3/atom: 21.2

a = 4.7154 Å, b = 4.7154 Å, c = 4.7676 Å
α = 90.00°, β = 90.00°, γ = 90.00°
Last column: nearest neighbours and their distance in Å.
Space group P4/mmm (No. 123)
Inequivalent atoms, fractional coordinates:
Mo1 0.0000 0.0000 0.0000 (multiplicity 1)  4 S 3.33, 8 Cl 3.35
Rh1 0.5000 0.5000 0.5000 (multiplicity 1)  4 Cl 2.36, 2 S 2.38
S1 0.5000 0.5000 0.0000 (multiplicity 1)  2 Rh 2.38
Cl1 0.0000 0.5000 0.5000 (multiplicity 2)  2 Rh 2.36

=====

Record 15
Compound: MnP2RuS
Source: the Alexandria database
Functional: GGA-PBE
Structure: relaxed

Values from the calculation:
ΔE_f (raw), eV/atom: 0.78
Total moment, μB per atom: 0.0001
ΔE to the lowest computed polymorph, meV/atom: 176
V, A^3/atom: 15.9

a = 4.2845 Å, b = 4.2845 Å, c = 4.3305 Å
α = 90.00°, β = 90.00°, γ = 90.00°
Last column: nearest neighbours and their distance in Å.
Space group P4/mmm (No. 123)
Inequivalent atoms, fractional coordinates:
Mn1 0.0000 0.0000 0.0000 (multiplicity 1)  4 P 2.14, 2 S 2.17
P1 0.0000 0.5000 0.0000 (multiplicity 2)  2 Mn 2.14
Ru1 0.5000 0.5000 0.5000 (multiplicity 1)  4 S 3.03, 8 P 3.05
S1 0.0000 0.0000 0.5000 (multiplicity 1)  2 Mn 2.17

=====

Record 16
Compound: AlSe2N
Source: the Alexandria database
Functional: GGA-PBE
Structure: relaxed

Values from the calculation:
ΔE_f (raw), eV/atom: 1.03
Total moment, μB per atom: 0.0000
ΔE to the lowest computed polymorph, meV/atom: 475
V, A^3/atom: 17.2

a = 3.0996 Å, b = 3.0996 Å, c = 24.8523 Å
α = 90.00°, β = 90.00°, γ = 120.00°
Last column: nearest neighbours and their distance in Å.
Space group R-3m (No. 166, hexagonal axes)
Inequivalent atoms, fractional coordinates:
Al1 0.0000 0.0000 0.0000 (multiplicity 3)  2 Se 2.66
Se1 0.0000 0.0000 0.1069 (multiplicity 6)  3 N 2.33
N1 0.0000 0.0000 0.5000 (multiplicity 3)  6 Se 2.33

=====

Record 17
Compound: Ho3Hg3Pd2
Source: the Alexandria database
Functional: GGA-PBE
Structure: relaxed

Values from the calculation:
Formation energy, meV per atom: -688
Total moment, μB per atom: 0.0000
V, A^3/atom: 22.9

a = 7.5764 Å, b = 7.5764 Å, c = 3.6812 Å
α = 90.00°, β = 90.00°, γ = 120.00°
Last column: nearest neighbours and their distance in Å.
Space group P-62m (No. 189)
Inequivalent atoms, fractional coordinates:
Ho1 0.0000 0.4107 0.0000 (multiplicity 3)  4 Pd 2.94, 6 Hg 3.25-3.27
Hg1 0.0000 0.7637 0.5000 (multiplicity 3)  2 Pd 2.96, 2 Hg 3.10, 6 Ho 3.25-3.27
Pd1 0.3333 0.6667 0.5000 (multiplicity 2)  6 Ho 2.94, 3 Hg 2.96

=====

Record 18
Compound: Li2AlSi
Source: the Alexandria database
Functional: GGA-PBE
Structure: relaxed

Values from the calculation:
ΔE_f (raw), eV/atom: -0.03
Total moment, μB per atom: 0.0000
V, A^3/atom: 15.5

a = 2.8175 Å, b = 2.8175 Å, c = 27.0319 Å
α = 90.00°, β = 90.00°, γ = 120.00°
Last column: nearest neighbours and their distance in Å.
Space group R-3m (No. 166, hexagonal axes)
Inequivalent atoms, fractional coordinates:
Li1 0.0000 0.0000 0.2457 (multiplicity 6)  3 Si 2.69, 6 Li 2.82, 3 Al 2.87
Al1 0.0000 0.0000 0.0000 (multiplicity 3)  6 Al 2.82, 6 Li 2.87
Si1 0.0000 0.0000 0.5000 (multiplicity 3)  6 Li 2.69, 6 Si 2.82

=====

Record 19
Compound: Rb2Cd3InHg4
Source: the Alexandria database
Functional: GGA-PBE
Structure: relaxed

Values from the calculation:
Formation energy, meV per atom: -132
Total moment, μB per atom: 0.0000
V, A^3/atom: 31.8

a = 5.1417 Å, b = 5.1417 Å, c = 12.0449 Å
α = 90.00°, β = 90.00°, γ = 90.00°
Last column: nearest neighbours and their distance in Å.
Space group P-4m2 (No. 115)
Inequivalent atoms, fractional coordinates:
Rb1 0.0000 0.5000 0.2470 (multiplicity 2)  6 Cd 3.91-3.99, 8 Hg 3.93, 2 In 3.99
Cd1 0.0000 0.5000 0.8719 (multiplicity 2)  5 Hg 2.92-3.00
Cd2 0.5000 0.5000 0.5000 (multiplicity 1)  4 Hg 3.01
In1 0.0000 0.0000 0.5000 (multiplicity 1)  4 Hg 3.01
Hg1 0.0000 0.0000 0.0000 (multiplicity 1)  4 Cd 3.00
Hg2 0.0000 0.5000 0.6297 (multiplicity 2)  3 Cd 2.92-3.01, 2 In 3.01
Hg3 0.5000 0.5000 0.0000 (multiplicity 1)  4 Cd 3.00